Record 1
A relaxed Tm3Mn3Ga2Si crystal. Source: Alexandria via LeMat-Bulk, functional GGA-PBEsol.

Lattice parameters (Å, degrees): 6.911 6.911 3.782 90.00 90.00 120.00
Fractional positions:
Tm: 0.000 0.404 0.000
Tm: 0.404 0.000 0.000
Tm: 0.596 0.596 0.000
Mn: 0.000 0.780 0.500
Mn: 0.220 0.220 0.500
Mn: 0.780 0.000 0.500
Ga: 0.333 0.667 0.500
Ga: 0.667 0.333 0.500
Si: 0.000 0.000 0.000

crystal system	hexagonal
raw formation energy	-359	meV per atom
symmetry	P-62m
volume	17.4	Å³/atom

***

Record 2
A relaxed MnSb2Pb crystal. Source: Alexandria via LeMat-Bulk, functional GGA-PBEsol.

Lattice parameters (Å, degrees): 9.715 9.715 9.715 20.00 20.00 20.00
Fractional positions:
Mn: 0.000 0.000 0.000
Sb: 0.270 0.270 0.270
Sb: 0.730 0.730 0.730
Pb: 0.500 0.500 0.500

crystal system	trigonal
raw formation energy	112	meV per atom
symmetry	R-3m
volume	23.5	Å³/atom

***

Record 3
A relaxed WAu crystal. Source: Alexandria via LeMat-Bulk, functional GGA-PBEsol.

Lattice parameters (Å, degrees): 3.904 3.904 5.705 90.00 90.00 120.00
Fractional positions:
W: 0.333 0.667 0.250
W: 0.667 0.333 0.750
Au: 0.000 0.000 0.000
Au: 0.000 0.000 0.500

crystal system	hexagonal
E_tot	-7.333	eV per atom
symmetry	P6_3/mmc
volume	18.8	Å³/atom

***

Record 4
A relaxed MnRuSCl2 crystal. Source: Alexandria via LeMat-Bulk, functional GGA-PBEsol.

Lattice parameters (Å, degrees): 4.755 4.755 4.441 90.00 90.00 90.00
Fractional positions:
Mn: 0.000 0.000 0.000
Ru: 0.500 0.500 0.500
S: 0.500 0.500 0.000
Cl: 0.000 0.500 0.500
Cl: 0.500 0.000 0.500

crystal system	tetragonal
raw formation energy	268	meV per atom
symmetry	P4/mmm
volume	20.1	Å³/atom

***

Record 5
A relaxed TlZn3F crystal. Source: Alexandria via LeMat-Bulk, functional GGA-PBEsol.

Lattice parameters (Å, degrees): 4.491 4.491 4.491 90.00 90.00 90.00
Fractional positions:
Tl: 0.000 0.000 0.000
Zn: 0.000 0.500 0.500
Zn: 0.500 0.000 0.500
Zn: 0.500 0.500 0.000
F: 0.500 0.500 0.500

crystal system	cubic
raw formation energy	-120	meV per atom
symmetry	Pm-3m
volume	18.1	Å³/atom

***

Record 6
A relaxed BeZnRh2 crystal. Source: Alexandria via LeMat-Bulk, functional GGA-PBEsol.

Lattice parameters (Å, degrees): 2.824 2.824 5.910 90.00 90.00 90.00
Fractional positions:
Be: 0.000 0.000 0.000
Zn: 0.000 0.000 0.500
Rh: 0.500 0.500 0.226
Rh: 0.500 0.500 0.774

crystal system	tetragonal
E_tot	-5.924	eV per atom
symmetry	P4/mmm
volume	11.8	Å³/atom

***

Record 7
A relaxed DyHo crystal. Source: Alexandria via LeMat-Bulk, functional GGA-PBEsol.

Lattice parameters (Å, degrees): 3.520 3.520 5.512 90.00 90.00 120.00
Fractional positions:
Dy: 0.000 0.000 0.000
Ho: 0.333 0.667 0.500

crystal system	hexagonal
E_tot	-4.951	eV per atom
symmetry	P-6m2
volume	29.6	Å³/atom

***

Record 8
A relaxed Cs2HRu crystal. Source: Alexandria via LeMat-Bulk, functional GGA-PBEsol.

Lattice parameters (Å, degrees): 8.220 8.220 8.220 137.87 137.87 61.10
Fractional positions:
Cs: 0.103 0.625 0.978
Cs: 0.375 0.353 0.478
Cs: 0.647 0.125 0.022
Cs: 0.875 0.897 0.522
H: 0.250 0.750 0.500
H: 0.500 0.500 0.000
Ru: 0.000 0.000 0.000
Ru: 0.750 0.250 0.500

crystal system	tetragonal
E_tot	-2.534	eV per atom
symmetry	I-42d
volume	30.9	Å³/atom

***

Record 9
A relaxed Li3Mo crystal. Source: Alexandria via LeMat-Bulk, functional GGA-PBEsol.

Lattice parameters (Å, degrees): 2.426 4.797 5.310 90.00 90.00 90.00
Fractional positions:
Li: 0.000 0.000 0.000
Li: 0.000 0.500 0.293
Li: 0.500 0.000 0.532
Mo: 0.500 0.500 0.797

crystal system	orthorhombic
E_tot	-3.942	eV per atom
symmetry	Pmm2
volume	15.5	Å³/atom

***

Record 10
A relaxed ZrTaRe2 crystal. Source: Alexandria via LeMat-Bulk, functional GGA-PBEsol.

Lattice parameters (Å, degrees): 4.547 4.547 3.204 90.00 90.00 90.00
Fractional positions:
Zr: 0.000 0.000 0.000
Ta: 0.500 0.500 0.000
Re: 0.000 0.500 0.500
Re: 0.500 0.000 0.500

crystal system	tetragonal
E_tot	-12.395	eV per atom
symmetry	P4/mmm
volume	16.6	Å³/atom

***

Record 11
A relaxed LiTaPb2 crystal. Source: Alexandria via LeMat-Bulk, functional GGA-PBEsol.

Lattice parameters (Å, degrees): 4.893 4.893 6.182 99.54 99.54 37.12
Fractional positions:
Li: 0.000 0.000 0.000
Ta: 0.500 0.500 0.500
Pb: 0.250 0.250 0.746
Pb: 0.750 0.750 0.254

crystal system	monoclinic
E_tot	-5.282	eV per atom
symmetry	C2/m
volume	22.0	Å³/atom

***

Record 12
A relaxed La2TcAu crystal. Source: Alexandria via LeMat-Bulk, functional GGA-PBEsol.

Lattice parameters (Å, degrees): 5.105 5.105 3.592 90.00 90.00 90.00
Fractional positions:
La: 0.000 0.500 0.000
La: 0.500 0.000 0.000
Tc: 0.000 0.000 0.500
Au: 0.500 0.500 0.500

crystal system	tetragonal
E_tot	-6.612	eV per atom
symmetry	P4/mmm
volume	23.4	Å³/atom

***

Record 13
A relaxed YSiAs2 crystal. Source: Alexandria via LeMat-Bulk, functional GGA-PBEsol.

Lattice parameters (Å, degrees): 4.492 4.492 3.787 90.00 90.00 90.00
Fractional positions:
Y: 0.000 0.000 0.000
Si: 0.500 0.500 0.000
As: 0.000 0.500 0.500
As: 0.500 0.000 0.500

crystal system	tetragonal
raw formation energy	-462	meV per atom
symmetry	P4/mmm
volume	19.1	Å³/atom

***

Record 14
A relaxed YMgHgSb2 crystal. Source: Alexandria via LeMat-Bulk, functional GGA-PBEsol.

Lattice parameters (Å, degrees): 5.699 5.699 5.637 90.00 90.00 90.00
Fractional positions:
Y: 0.000 0.000 0.000
Mg: 0.500 0.500 0.500
Hg: 0.000 0.000 0.500
Sb: 0.000 0.500 0.000
Sb: 0.500 0.000 0.000

crystal system	tetragonal
raw formation energy	270	meV per atom
symmetry	P4/mmm
volume	36.6	Å³/atom

***

Record 15
A relaxed ZnFe2BC crystal. Source: Alexandria via LeMat-Bulk, functional GGA-PBEsol.

Lattice parameters (Å, degrees): 3.964 3.964 3.004 90.00 90.00 90.00
Fractional positions:
Zn: 0.000 0.000 0.000
Fe: 0.000 0.500 0.500
Fe: 0.500 0.000 0.500
B: 0.500 0.500 0.000
C: 0.500 0.500 0.500

crystal system	tetragonal
E_tot	-6.969	eV per atom
symmetry	P4/mmm
volume	9.4	Å³/atom

***

Record 16
A relaxed Li7OsO6 crystal. Source: Alexandria via LeMat-Bulk, functional GGA-PBEsol.

Lattice parameters (Å, degrees): 5.285 5.362 5.768 90.90 115.95 119.24
Fractional positions:
Li: 0.000 0.000 0.000
Li: 0.039 0.852 0.424
Li: 0.149 0.254 0.726
Li: 0.452 0.751 0.011
Li: 0.589 0.126 0.380
Li: 0.684 0.350 0.006
Li: 0.895 0.597 0.741
Os: 0.304 0.503 0.384
O: 0.140 0.727 0.141
O: 0.158 0.587 0.620
O: 0.416 0.394 0.124
O: 0.452 0.274 0.612
O: 0.767 0.865 0.604
O: 0.849 0.127 0.182

crystal system	triclinic
raw formation energy	-1714	meV per atom
symmetry	P1
volume	8.8	Å³/atom

***

Record 17
A relaxed TcOs3 crystal. Source: Alexandria via LeMat-Bulk, functional GGA-PBEsol.

Lattice parameters (Å, degrees): 2.725 2.725 8.665 90.00 90.00 120.00
Fractional positions:
Tc: 0.000 0.000 0.000
Os: 0.000 0.000 0.500
Os: 0.333 0.667 0.249
Os: 0.333 0.667 0.751

crystal system	hexagonal
E_tot	-12.023	eV per atom
symmetry	P-6m2
volume	13.9	Å³/atom

***

Record 18
A relaxed CrRu3 crystal. Source: Alexandria via LeMat-Bulk, functional GGA-PBEsol.

Lattice parameters (Å, degrees): 2.661 2.661 8.370 90.00 90.00 120.00
Fractional positions:
Cr: 0.000 0.000 0.000
Ru: 0.000 0.000 0.500
Ru: 0.667 0.333 0.243
Ru: 0.667 0.333 0.757

crystal system	hexagonal
E_tot	-10.127	eV per atom
symmetry	P-6m2
volume	12.8	Å³/atom

***

Record 19
A relaxed Cr4Cu3O12 crystal. Source: Alexandria via LeMat-Bulk, functional GGA-PBEsol.

Lattice parameters (Å, degrees): 6.118 6.118 6.118 109.47 109.47 109.47
Fractional positions:
Cr: 0.000 0.000 0.500
Cr: 0.000 0.500 0.000
Cr: 0.500 0.000 0.000
Cr: 0.500 0.500 0.500
Cu: 0.000 0.500 0.500
Cu: 0.500 0.000 0.500
Cu: 0.500 0.500 0.000
O: 0.120 0.307 0.814
O: 0.186 0.493 0.307
O: 0.186 0.880 0.693
O: 0.307 0.186 0.493
O: 0.307 0.814 0.120
O: 0.493 0.307 0.186
O: 0.507 0.693 0.814
O: 0.693 0.186 0.880
O: 0.693 0.814 0.507
O: 0.814 0.120 0.307
O: 0.814 0.507 0.693
O: 0.880 0.693 0.186

crystal system	cubic
raw formation energy	-1414	meV per atom
symmetry	Im-3
volume	9.3	Å³/atom

***

Record 20
A relaxed Ca2BeZn crystal. Source: Alexandria via LeMat-Bulk, functional GGA-PBEsol.

Lattice parameters (Å, degrees): 5.902 5.902 5.902 145.95 129.56 62.27
Fractional positions:
Ca: 0.000 0.000 0.000
Ca: 0.697 0.197 0.500
Be: 0.434 0.434 0.000
Zn: 0.279 0.779 0.500

crystal system	orthorhombic
E_tot	-2.365	eV per atom
symmetry	Imm2
volume	22.0	Å³/atom

***

Record 21
A relaxed Ce2Fe17C3 crystal. Source: Alexandria via LeMat-Bulk, functional GGA-PBEsol.

Lattice parameters (Å, degrees): 6.384 6.384 6.384 83.74 83.74 83.74
Fractional positions:
Ce: 0.154 0.154 0.154
Ce: 0.846 0.846 0.846
Fe: 0.000 0.500 0.500
Fe: 0.157 0.157 0.644
Fe: 0.157 0.644 0.157
Fe: 0.218 0.500 0.782
Fe: 0.218 0.782 0.500
Fe: 0.356 0.843 0.843
Fe: 0.404 0.404 0.404
Fe: 0.500 0.000 0.500
Fe: 0.500 0.218 0.782
Fe: 0.500 0.500 0.000
Fe: 0.500 0.782 0.218
Fe: 0.596 0.596 0.596
Fe: 0.644 0.157 0.157
Fe: 0.782 0.218 0.500
Fe: 0.782 0.500 0.218
Fe: 0.843 0.356 0.843
Fe: 0.843 0.843 0.356
C: 0.000 0.000 0.500
C: 0.000 0.500 0.000
C: 0.500 0.000 0.000

crystal system	trigonal
E_tot	-8.889	eV per atom
symmetry	R-3m
volume	11.6	Å³/atom

***

Record 22
A relaxed Na2SeS crystal. Source: Alexandria via LeMat-Bulk, functional GGA-PBEsol.

Lattice parameters (Å, degrees): 6.140 6.140 6.140 101.06 101.06 128.04
Fractional positions:
Na: 0.104 0.625 0.979
Na: 0.375 0.354 0.479
Na: 0.646 0.125 0.021
Na: 0.875 0.896 0.521
Se: 0.250 0.750 0.500
Se: 0.500 0.500 0.000
S: 0.000 0.000 0.000
S: 0.750 0.250 0.500

crystal system	tetragonal
raw formation energy	-616	meV per atom
symmetry	I-42d
volume	20.5	Å³/atom

***

Record 23
A relaxed Ba2CoSe2Cl2O6 crystal. Source: Alexandria via LeMat-Bulk, functional GGA-PBEsol.

Lattice parameters (Å, degrees): 6.768 12.497 5.338 90.00 90.00 90.00
Fractional positions:
Ba: 0.198 0.231 0.000
Ba: 0.302 0.731 0.500
Ba: 0.698 0.269 0.500
Ba: 0.802 0.769 0.000
Co: 0.000 0.000 0.500
Co: 0.500 0.500 0.000
Se: 0.244 0.431 0.500
Se: 0.256 0.931 0.000
Se: 0.744 0.069 0.000
Se: 0.756 0.569 0.500
Cl: 0.182 0.601 0.000
Cl: 0.318 0.101 0.500
Cl: 0.682 0.899 0.500
Cl: 0.818 0.399 0.000
O: 0.084 0.326 0.500
O: 0.099 0.892 0.244
O: 0.099 0.892 0.756
O: 0.401 0.392 0.256
O: 0.401 0.392 0.744
O: 0.416 0.826 0.000
O: 0.584 0.174 0.000
O: 0.599 0.608 0.256
O: 0.599 0.608 0.744
O: 0.901 0.108 0.244
O: 0.901 0.108 0.756
O: 0.916 0.674 0.500

crystal system	orthorhombic
raw formation energy	-1613	meV per atom
symmetry	Pnnm
volume	17.4	Å³/atom

***

Record 24
A relaxed Ga2HgO4 crystal. Source: Alexandria via LeMat-Bulk, functional GGA-PBEsol.

Lattice parameters (Å, degrees): 8.896 2.961 12.579 90.00 90.00 90.00
Fractional positions:
Ga: 0.042 0.250 0.109
Ga: 0.148 0.250 0.693
Ga: 0.352 0.750 0.193
Ga: 0.458 0.750 0.609
Ga: 0.542 0.250 0.391
Ga: 0.648 0.250 0.807
Ga: 0.852 0.750 0.307
Ga: 0.958 0.750 0.891
Hg: 0.175 0.250 0.435
Hg: 0.325 0.750 0.935
Hg: 0.675 0.250 0.065
Hg: 0.825 0.750 0.565
O: 0.041 0.750 0.617
O: 0.064 0.250 0.828
O: 0.122 0.750 0.013
O: 0.213 0.250 0.203
O: 0.287 0.750 0.703
O: 0.378 0.250 0.513
O: 0.436 0.750 0.328
O: 0.459 0.250 0.117
O: 0.541 0.750 0.883
O: 0.564 0.250 0.672
O: 0.622 0.750 0.487
O: 0.713 0.250 0.297
O: 0.787 0.750 0.797
O: 0.878 0.250 0.987
O: 0.936 0.750 0.172
O: 0.959 0.250 0.383

crystal system	orthorhombic
raw formation energy	-1420	meV per atom
symmetry	Pnma
volume	11.8	Å³/atom